DFT (GGA-PBE) results for crystalline RbTlSnCl6 at its relaxed geometry.

POSCAR file:
```
RbTlSnCl6
1.0
7.825 0.000 0.000
-3.913 6.777 0.000
0.000 0.000 11.807
Rb Tl Sn Cl
2 2 2 12
Cartesian
0.000 4.518 2.952
3.913 2.259 8.855
0.000 0.000 0.000
0.000 0.000 5.903
0.000 4.518 8.855
3.913 2.259 2.952
-0.978 2.748 7.414
-2.022 4.556 10.296
0.978 2.748 10.296
-1.044 6.250 7.414
2.868 0.527 1.511
1.891 2.221 4.393
2.022 4.556 7.414
1.044 6.250 10.296
4.957 0.527 4.393
2.935 4.029 1.511
5.935 2.221 1.511
4.890 4.029 4.393
```

Values from the calculation:
Its formation energy from raw total energies is -1.217 eV per atom. The calculation puts the total magnetic moment at 0.0 μB per formula unit.